Entry from the Alexandria database: an optimized crystal structure of KTaAg2 (GGA-PBE).

Calculated values
- Relative energy among the computed polymorphs: 122 meV/atom
- Calculated total energy: -16.2 eV for the cell shown
- Density of states at the Fermi level: 3.21 states/eV/f.u.
- Formation energy from the elements: 0.601 eV per atom
- Space-group type: Cmm2

```
KTaAg2
1.0
-2.0565 -1.4401 1.4184
2.4492 -1.5192 0.0898
2.8021 5.0612 9.2015
K Ag Ta
1 2 1
direct
0.0000 0.0000 0.4886
0.5000 0.5000 0.2213
0.0000 0.0000 0.0033
0.5000 0.5000 0.7867
```

Entry from the Alexandria database: an optimized crystal structure of LaNd3Hg (GGA-PBE).

Calculated values
- Calculated total energy: -40.8 eV for the cell shown
- Density of states at the Fermi level: 6.46 states/eV/f.u.
- Formation energy from the elements: -0.169 eV per atom
- Space-group type: C2/m

```
LaNd3Hg
1.0
3.7002 0.0000 -0.6547
-0.0507 5.7425 -0.2863
0.8009 0.8137 15.3092
Nd La Hg
6 2 2
direct
0.0474 0.2625 0.0949
0.1266 0.7524 0.2532
0.8734 0.2476 0.7468
0.9526 0.7375 0.9051
0.3419 0.7502 0.6837
0.6581 0.2498 0.3163
0.2665 0.2490 0.5330
0.7335 0.7510 0.4670
0.5406 0.7704 0.0812
0.4594 0.2296 0.9188
```

Entry from the Alexandria database: an optimized crystal structure of MnAlBr5 (GGA-PBE).

Calculated values
- Calculated total energy: -55.2 eV for the cell shown
- Density of states at the Fermi level: 0.00 states/eV/f.u.
- Formation energy (no corrections): -0.90 eV per atom
- Space-group type: C2/c

```
MnAlBr5
1.0
-6.9199 2.0771 -1.4799
-1.3971 -6.7576 -2.6048
1.2870 -0.4359 9.7433
Mn Br Al
2 10 2
direct
0.5000 0.0000 0.0000
0.5000 0.0000 0.5000
0.5727 0.9274 0.7501
0.2486 0.2740 0.9558
0.8297 0.2784 0.1572
0.2258 0.2511 0.5440
0.7782 0.3298 0.6571
0.7742 0.7489 0.4560
0.1703 0.7216 0.8428
0.4273 0.0726 0.2499
0.2218 0.6702 0.3429
0.7514 0.7260 0.0442
0.1187 0.3811 0.7500
0.8813 0.6189 0.2500
```

Entry from the Alexandria database: an optimized crystal structure of NdMg2Al2Au2 (GGA-PBE).

Calculated values
- Calculated total energy: -25.6 eV for the cell shown
- Density of states at the Fermi level: 3.53 states/eV/f.u.
- Formation energy from the elements: -0.512 eV per atom
- Space-group type: R-3m

```
NdMg2Al2Au2
1.0
-2.6790 -3.4688 0.8990
0.3374 -3.7659 -2.3921
5.0463 -5.4563 5.1176
Mg Au Al Nd
2 2 2 1
direct
0.8652 0.8652 0.4045
0.1348 0.1348 0.5955
0.4171 0.4171 0.7486
0.5829 0.5829 0.2514
0.2544 0.2544 0.2368
0.7456 0.7456 0.7632
0.0000 0.0000 0.0000
```

Entry from the Alexandria database: an optimized crystal structure of LiCSeN2 (GGA-PBE).

Calculated values
- Relative energy among the computed polymorphs: 953 meV/atom
- Calculated total energy: -18.2 eV for the cell shown
- Density of states at the Fermi level: 2.88 states/eV/f.u.
- Formation energy (no corrections): 2.61 eV per atom
- Space-group type: P4/mmm

```
LiCSeN2
1.0
-1.7035 -0.6894 2.7554
2.8324 -0.6526 1.5878
0.4579 6.8408 1.9947
N Se Li C
2 1 1 1
direct
0.5000 0.0000 0.0000
0.0000 0.5000 0.0000
0.0000 0.0000 0.5000
0.0000 0.0000 0.0000
0.5000 0.5000 0.5000
```

Entry from the Alexandria database: an optimized crystal structure of TbMgGa (GGA-PBE).

Calculated values
- Calculated total energy: -10.3 eV for the cell shown
- Density of states at the Fermi level: 0.77 states/eV/f.u.
- Formation energy from the elements: -0.359 eV per atom
- Space-group type: F-43m

```
TbMgGa
1.0
-1.2777 -3.4387 3.0318
3.2809 -2.1059 2.7294
0.0733 0.8133 4.6885
Tb Ga Mg
1 1 1
direct
0.0000 0.0000 0.0000
0.2500 0.2500 0.2500
0.5000 0.5000 0.5000
```

> The highest density of states at the Fermi level belongs to which entry?

LaNd3Hg

> Which value of density of states at the Fermi level does entry 5 give?

2.88 states/eV/f.u.